DFT (PBE-GGA) results for crystalline GaIrCl3 at its relaxed geometry.

a b c (Å): 4.868 4.868 4.868
angles (deg): 90.00 90.00 90.00
Space group Pm-3m (No. 221)
Unique sites:
Ga: 0.000 0.000 0.000 [1 per cell]
Ir: 0.500 0.500 0.500 [1 per cell]
Cl: 0.000 0.500 0.500 [3 per cell]

Output
For the total magnetic moment, the calculation gives 0.000 μB/atom. The value obtained for the uncorrected energy is -3.6334 eV/atom. Its uncorrected formation energy is -148 meV/atom. The value obtained for the relative energy among the computed polymorphs is 0.00 eV/f.u. The calculation puts the calculated volume at 115.3 Å³/cell.